Record 1
The following is a DFT calculation (PBE) of an optimized crystal structure of LiCaHoIn.

Summary:
Calculated formation energy = -0.260 eV per atom
Total magnetic moment = 0.00 μB per formula unit

Unit cell a=5.335 b=5.335 c=5.335 alpha=60.00 beta=60.00 gamma=60.00
Element x y z (fractional)
Li  0.000  0.000  0.000
Ca  0.750  0.750  0.750
Ho  0.250  0.250  0.250
In  0.500  0.500  0.500

---

Record 2
The following is a DFT calculation (PBE) of an optimized crystal structure of CaHoLuIn.

Summary:
Calculated formation energy = -0.095 eV per atom
Total magnetic moment = 0.00 μB per formula unit

Unit cell a=5.444 b=5.444 c=5.444 alpha=60.00 beta=60.00 gamma=60.00
Element x y z (fractional)
Ca  0.000  0.000  0.000
Ho  0.750  0.750  0.750
Lu  0.250  0.250  0.250
In  0.500  0.500  0.500

---

Record 3
The following is a DFT calculation (PBE) of an optimized crystal structure of CaHoMgIn.

Summary:
Calculated formation energy = -0.301 eV per atom
Total magnetic moment = 0.00 μB per formula unit

Unit cell a=5.378 b=5.378 c=5.378 alpha=60.00 beta=60.00 gamma=60.00
Element x y z (fractional)
Ca  0.000  0.000  0.000
Ho  0.500  0.500  0.500
Mg  0.750  0.750  0.750
In  0.250  0.250  0.250

---

Record 4
The following is a DFT calculation (PBE) of an optimized crystal structure of NaCaHoIn.

Summary:
Calculated formation energy = -0.152 eV per atom
Total magnetic moment = 0.00 μB per formula unit

Unit cell a=5.470 b=5.470 c=5.470 alpha=60.00 beta=60.00 gamma=60.00
Element x y z (fractional)
Na  0.000  0.000  0.000
Ca  0.750  0.750  0.750
Ho  0.250  0.250  0.250
In  0.500  0.500  0.500

---

Record 5
The following is a DFT calculation (PBE) of an optimized crystal structure of CaHo2InO.

Summary:
Total magnetic moment = 0.00 μB per formula unit

Unit cell a=4.767 b=4.767 c=4.832 alpha=90.00 beta=90.00 gamma=90.00
Element x y z (fractional)
Ca  0.000  0.000  0.000
Ho  0.000  0.500  0.500
Ho  0.500  0.000  0.500
In  0.500  0.500  0.000
O  0.000  0.000  0.500

---

Record 6
The following is a DFT calculation (PBE) of an optimized crystal structure of CaHoIn4O8.

Summary:
Total magnetic moment = 0.00 μB per formula unit

Unit cell a=6.714 b=6.714 c=6.714 alpha=59.48 beta=59.48 gamma=59.48
Element x y z (fractional)
Ca  0.000  0.000  0.000
Ho  0.626  0.626  0.626
In  0.121  0.625  0.625
In  0.249  0.249  0.249
In  0.625  0.121  0.625
In  0.625  0.625  0.121
O  0.381  0.381  0.845
O  0.381  0.845  0.381
O  0.387  0.387  0.387
O  0.414  0.863  0.863
O  0.845  0.381  0.381
O  0.860  0.860  0.860
O  0.863  0.414  0.863
O  0.863  0.863  0.414

---

Respective total DFT energy (no corrections) values: -0.113, -0.131, -0.111, -0.103, -0.190, -0.225 Ha/atom.